--- a ---
VASP calculation (PBE-GGA) on a relaxed structure of H2PtAu2.

Lattice parameters (Å, degrees): 7.509 7.509 2.765 90.00 90.00 90.00
Fractional positions:
H 0.115 0.615 0.500
H 0.615 0.885 0.500
H 0.885 0.385 0.500
H 0.385 0.115 0.500
Au 0.213 0.713 0.000
Au 0.713 0.787 0.000
Au 0.787 0.287 0.000
Au 0.287 0.213 0.000
Pt 0.000 0.000 0.000
Pt 0.500 0.500 0.000

Results
The space group is P4/mbm.

***

--- b ---
VASP calculation (PBE-GGA) on a relaxed structure of H2PtAu2.

Lattice parameters (Å, degrees): 5.649 5.649 4.027 90.00 90.00 90.00
Fractional positions:
H 0.249 0.749 0.000
H 0.749 0.751 0.000
H 0.751 0.251 0.000
H 0.251 0.249 0.000
Au 0.250 0.750 0.500
Au 0.750 0.750 0.500
Au 0.750 0.250 0.500
Au 0.250 0.250 0.500
Pt 0.000 0.000 0.000
Pt 0.500 0.500 0.000

Results
The space group is P4/mbm.

***

--- c ---
VASP calculation (PBE-GGA) on a relaxed structure of H2PtAu2.

Lattice parameters (Å, degrees): 3.093 3.093 6.625 76.50 76.50 90.00
Fractional positions:
H 0.750 0.250 0.500
H 0.250 0.750 0.500
Au 0.353 0.353 0.294
Au 0.647 0.647 0.706
Pt 0.000 0.000 0.000

Results
The space group is I4/mmm.

***

Winner for stability: b